(1)
The following is a DFT calculation (PBE) of an optimized crystal structure of AcPuSn.

a b c (Å): 5.3023 5.3023 5.3023
angles (deg): 60.00 60.00 60.00
Closest atoms and distances in Å follow each position.
Fractional positions:
Ac1 0.0000 0.0000 0.0000  4 Pu 3.25
Pu1 0.2500 0.2500 0.2500  4 Ac 3.25, 4 Sn 3.25
Sn1 0.5000 0.5000 0.5000  4 Pu 3.25

Results
Offset from the most stable computed form   0.0000 eV per atom
Total moment   2.251 μB per atom
Space-group type   F-43m
Total DFT energy (no corrections)   -22.015 eV for the cell shown

***

(2)
The following is a DFT calculation (PBE) of an optimized crystal structure of Er2CuPd.

a b c (Å): 5.4649 4.4934 6.9517
angles (deg): 90.00 90.23 90.00
Closest atoms and distances in Å follow each position.
Fractional positions:
Er1 0.1366 0.2500 0.1832  4 Cu 2.88-3.00, 3 Pd 2.95-2.97
Er2 0.3588 0.2500 0.6816  4 Pd 2.83-2.97, 3 Cu 2.85-3.00
Er3 0.6412 0.7500 0.3184  4 Pd 2.83-2.97, 3 Cu 2.85-3.00
Er4 0.8634 0.7500 0.8168  4 Cu 2.88-3.00, 3 Pd 2.95-2.97
Cu1 0.3722 0.7500 0.9671  2 Cu 2.68, 7 Er 2.85-3.00
Cu2 0.6278 0.2500 0.0329  2 Cu 2.68, 7 Er 2.85-3.00
Pd1 0.1555 0.7500 0.4568  7 Er 2.83-2.97, 2 Pd 2.88
Pd2 0.8445 0.2500 0.5432  7 Er 2.83-2.97, 2 Pd 2.88

Results
Total moment   0.001 μB per atom
Space-group type   P2_1/m
Total DFT energy (no corrections)   -40.985 eV for the cell shown

***

Which of these has the lowest total moment?
Er2CuPd

***

Repeat the first record exactly.
The following is a DFT calculation (PBE) of an optimized crystal structure of AcPuSn.

a b c (Å): 5.3023 5.3023 5.3023
angles (deg): 60.00 60.00 60.00
Closest atoms and distances in Å follow each position.
Fractional positions:
Ac1 0.0000 0.0000 0.0000  4 Pu 3.25
Pu1 0.2500 0.2500 0.2500  4 Ac 3.25, 4 Sn 3.25
Sn1 0.5000 0.5000 0.5000  4 Pu 3.25

Results
Offset from the most stable computed form   0.0000 eV per atom
Total moment   2.251 μB per atom
Space-group type   F-43m
Total DFT energy (no corrections)   -22.015 eV for the cell shown

***

What is the formula in the first record?
AcPuSn